Entry 1:
This record from OQMD via LeMat-Bulk describes an optimized crystal structure of Nb5Si3. The functional is PBE.

```
16
Lattice="0.000 0.000 5.096 5.035 -5.035 2.548 5.035 5.035 -2.548" Properties=species:S:1:pos:R:3 pbc="T T T"
Nb 2.209 -0.767 5.096
Nb 5.035 0.000 3.822
Nb 2.209 0.767 2.548
Si 6.695 -1.659 5.096
Nb 7.861 0.767 0.000
Si 3.376 1.659 0.000
Si 0.000 0.000 3.822
Nb 5.035 0.000 1.274
Nb 5.802 2.826 0.000
Si 3.376 -1.659 2.548
Si 6.695 1.659 2.548
Nb 4.269 -2.826 5.096
Si 0.000 0.000 1.274
Nb 7.861 -0.767 2.548
Nb 5.802 -2.826 2.548
Nb 4.269 2.826 2.548
```

Calculated values
* energy above the most stable polymorph in this dataset: 0.0000 eV per atom


Entry 2:
This record from OQMD via LeMat-Bulk describes an optimized crystal structure of Nb3Si. The functional is PBE.

```
16
Lattice="-5.162 5.162 2.579 5.162 -5.162 2.579 5.162 5.162 -2.579" Properties=species:S:1:pos:R:3 pbc="T T T"
Nb 1.005 -0.850 1.354
Nb 3.180 2.927 -1.269
Si 4.889 -2.153 2.673
Nb 1.477 5.014 -0.076
Nb 1.982 2.235 1.310
Nb 2.235 -1.982 3.847
Si 2.153 4.889 2.484
Nb -0.148 3.685 2.655
Si 0.273 7.315 0.094
Si 3.009 0.273 -0.094
Nb 4.157 6.012 -1.225
Nb 2.927 7.144 1.269
Nb 5.309 1.477 0.076
Nb 4.312 4.157 1.225
Nb 3.685 0.148 2.502
Nb 0.850 1.005 3.803
```

Calculated values
* energy above the most stable polymorph in this dataset: 0.0332 eV per atom


Entry 3:
This record from OQMD via LeMat-Bulk describes an optimized crystal structure of Nb5Si4. The functional is PBE.

```
18
Lattice="7.854 0.000 0.000 -3.927 6.801 0.000 0.000 0.000 5.344" Properties=species:S:1:pos:R:3 pbc="T T T"
Si 2.369 4.104 4.008
Nb 3.927 2.267 2.672
Nb 2.861 4.955 1.336
Si 3.115 0.000 4.008
Nb -1.066 1.847 1.336
Si -1.557 2.698 4.008
Nb 3.927 2.267 0.000
Nb 0.000 4.534 2.672
Si 4.739 0.000 1.336
Nb 5.721 0.000 4.008
Si 0.000 0.000 0.000
Nb -2.861 4.955 4.008
Nb 2.133 0.000 1.336
Si -2.369 4.104 1.336
Nb 0.000 4.534 0.000
Si 0.000 0.000 2.672
Si 1.557 2.698 1.336
Nb 1.066 1.847 4.008
```

Calculated values
* energy above the most stable polymorph in this dataset: 0.0233 eV per atom


Entry 4:
This record from OQMD via LeMat-Bulk describes an optimized crystal structure of Nb5Si4. The functional is PBE.

```
36
Lattice="6.790 0.000 0.000 0.000 6.790 0.000 0.000 0.000 12.479" Properties=species:S:1:pos:R:3 pbc="T T T"
Si 1.418 5.855 7.201
Nb 0.026 5.764 1.543
Nb 6.764 1.026 7.782
Nb 3.421 1.099 6.605
Nb 3.369 5.691 0.366
Si 1.977 2.460 8.398
Nb 1.147 1.147 0.000
Nb 3.369 2.369 1.577
Nb 2.296 0.026 9.725
Nb 0.026 2.296 2.754
Nb 1.099 3.421 5.874
Si 0.289 2.072 10.156
Si 2.460 1.977 4.081
Si 5.855 1.418 5.278
Si 4.718 6.501 8.562
Si 5.371 0.935 0.962
Si 4.813 4.330 2.158
Nb 5.764 0.026 10.936
Si 6.501 4.718 3.916
Nb 4.421 3.421 4.663
Si 3.684 1.323 11.682
Nb 6.764 4.494 8.993
Nb 2.248 4.542 3.120
Nb 1.026 6.764 4.697
Nb 5.691 3.369 12.113
Nb 4.494 6.764 3.485
Si 2.072 0.289 2.323
Si 4.330 4.813 10.321
Nb 2.369 3.369 10.902
Si 5.467 3.106 7.036
Si 0.935 5.371 11.517
Nb 3.421 4.421 7.816
Nb 4.542 2.248 9.359
Nb 5.643 5.643 6.239
Si 3.106 5.467 5.443
Si 1.323 3.684 0.797
```

Calculated values
* energy above the most stable polymorph in this dataset: 0.0000 eV per atom


Entry 5:
This record from OQMD via LeMat-Bulk describes an optimized crystal structure of Nb5Si3. The functional is PBE.

```
16
Lattice="1.154 5.182 6.511 -3.810 7.435 -0.884 -2.439 -7.999 -0.800" Properties=species:S:1:pos:R:3 pbc="T T T"
Nb -0.681 2.340 5.931
Nb -4.414 2.277 -1.105
Nb -2.361 0.209 4.502
Nb -2.341 3.094 3.459
Si -2.490 -0.570 0.103
Si -1.605 -1.841 3.370
Nb -2.754 1.524 1.368
Si -1.991 9.462 4.220
Si -0.664 3.154 1.407
Nb -1.328 6.308 2.813
Nb 0.158 1.339 3.156
Nb -5.252 3.278 1.671
Si -3.489 6.458 1.457
Nb 0.000 0.000 0.000
Si -2.604 5.187 4.724
Nb -2.733 4.409 0.325
```

Calculated values
* energy above the most stable polymorph in this dataset: 0.7131 eV per atom


Entry 6:
This record from OQMD via LeMat-Bulk describes an optimized crystal structure of Nb3Si. The functional is PBE.

```
32
Lattice="-9.787 0.556 3.028 1.040 -8.902 4.994 1.472 2.575 4.284" Properties=species:S:1:pos:R:3 pbc="T T T"
Si -1.555 -2.689 5.134
Si -7.174 -3.396 10.658
Nb -6.533 -7.491 6.893
Nb -8.980 0.679 4.349
Nb -4.890 -0.602 7.000
Si -5.843 -6.712 9.395
Nb -2.386 -5.169 5.306
Nb -4.321 1.954 5.150
Nb -7.592 -1.638 8.433
Nb -5.937 -0.264 3.988
Nb -4.404 -2.938 4.951
Si -0.102 -2.376 1.648
Nb 1.705 -6.450 7.957
Si -1.433 0.941 2.911
Nb -2.863 -0.515 4.608
Nb -6.968 1.014 6.743
Nb -0.755 -0.861 6.969
Nb -7.393 -1.899 5.471
Nb -0.308 -6.785 5.563
Nb -0.743 1.720 5.413
Nb -2.872 -2.833 7.355
Nb -7.304 -4.807 8.421
Si -3.090 -4.124 9.693
Nb -4.413 -5.256 7.698
Nb -1.339 -5.508 8.318
Nb 0.029 -0.965 3.884
Nb 0.117 -3.872 6.835
Nb 0.316 -4.133 3.872
Si -5.721 -3.082 7.171
Si -4.186 -1.647 2.613
Nb -2.955 -7.726 7.156
Nb -6.521 -4.910 5.337
```

Calculated values
* energy above the most stable polymorph in this dataset: 0.0000 eV per atom


Entry 7:
This record from OQMD via LeMat-Bulk describes an optimized crystal structure of NbSi2. The functional is PBE.

```
6
Lattice="0.776 -1.119 4.726 2.449 3.129 2.898 -2.382 2.458 3.532" Properties=species:S:1:pos:R:3 pbc="T T T"
Nb 0.211 1.117 2.789
Nb 0.000 0.000 0.000
Si -0.697 1.228 5.524
Si 0.527 2.793 6.973
Si 1.718 1.564 5.207
Si 0.139 3.352 4.610
```

Calculated values
* electronic total energy: -6.946 eV/atom


Entry 8:
This record from OQMD via LeMat-Bulk describes an optimized crystal structure of NbSi2. The functional is PBE.

```
9
Lattice="4.813 0.000 0.000 -2.406 4.168 0.000 0.000 0.000 6.610" Properties=species:S:1:pos:R:3 pbc="T T T"
Nb 1.203 2.084 5.509
Si 0.000 1.324 3.305
Si 1.146 0.662 1.102
Si 3.666 0.662 5.509
Si -1.260 3.506 5.509
Nb 2.406 0.000 3.305
Si 1.260 3.506 1.102
Nb -1.203 2.084 1.102
Si 2.406 2.844 3.305
```

Calculated values
* electronic total energy: -7.532 eV/atom


Entry 9:
This record from OQMD via LeMat-Bulk describes an optimized crystal structure of Nb6Si5. The functional is PBE.

```
22
Lattice="-3.784 -6.475 6.108 4.084 8.661 -1.366 -9.151 -2.993 -0.926" Properties=species:S:1:pos:R:3 pbc="T T T"
Si -6.091 -3.648 2.066
Si 0.225 1.639 3.556
Nb -0.309 3.123 1.464
Si -7.265 1.266 -0.124
Nb -3.933 -2.387 2.791
Nb -2.098 0.830 -0.250
Nb 0.001 5.181 -0.946
Nb -6.753 -1.638 4.066
Si -1.587 -2.073 3.940
Nb -4.919 1.580 1.025
Si -5.065 -3.535 4.833
Nb -8.542 -3.931 2.351
Nb -11.675 -7.447 4.170
Nb -2.298 0.399 2.845
Nb -6.553 -1.207 0.970
Si -5.067 0.068 3.173
Si -3.787 2.727 -1.018
Si -3.784 -0.875 0.643
Si 0.075 0.546 1.185
Nb -8.853 -5.989 4.762
Nb 2.823 6.640 -0.355
Si -2.761 2.840 1.749
```

Calculated values
* electronic total energy: -8.563 eV/atom


Entry 10:
This record from OQMD via LeMat-Bulk describes an optimized crystal structure of Nb2Si. The functional is PBE.

```
3
Lattice="-0.223 1.662 4.305 -2.426 -3.759 -1.153 2.110 -1.582 0.720" Properties=species:S:1:pos:R:3 pbc="T T T"
Nb 0.098 -0.936 2.846
Si 0.000 0.000 0.000
Nb -0.636 -2.743 1.026
```

Calculated values
* electronic total energy: -8.364 eV/atom


Entry 11:
This record from OQMD via LeMat-Bulk describes an optimized crystal structure of NbSi. The functional is PBE.

```
2
Lattice="0.000 2.881 2.881 2.881 0.000 2.881 2.881 2.881 0.000" Properties=species:S:1:pos:R:3 pbc="T T T"
Nb 0.000 0.000 0.000
Si 1.441 1.441 1.441
```

Calculated values
* electronic total energy: -6.867 eV/atom


Entry 12:
This record from OQMD via LeMat-Bulk describes an optimized crystal structure of Nb5Si8. The functional is PBE.

```
13
Lattice="2.585 1.492 8.582 -2.585 1.492 8.582 0.000 -2.985 8.582" Properties=species:S:1:pos:R:3 pbc="T T T"
Nb 0.000 0.000 21.317
Si 0.000 -1.437 6.610
Nb 0.000 0.000 16.584
Nb 0.000 0.000 9.162
Si 0.000 0.000 11.729
Si 0.000 1.437 19.137
Si 1.245 0.719 6.610
Si 0.000 0.000 14.017
Si -1.245 0.719 6.610
Si -1.245 -0.719 19.137
Nb 0.000 0.000 0.000
Si 1.245 -0.719 19.137
Nb 0.000 0.000 4.430
```

Calculated values
* electronic total energy: -7.350 eV/atom